1.
Cd2AgSb2 | PBE-GGA | optimized geometry

Calculated values
* E: -2.340 eV/atom
* magnetization: 0.00 μB/atom
* formation energy (no corrections): 0.245 eV per atom

Lattice parameters (Å, degrees): 4.215 4.215 8.035 74.79 74.79 90.00
Fractional coordinates of all 5 atoms:
Sb  0.397  0.397  0.206
Sb  0.603  0.603  0.794
Ag  0.000  0.000  0.000
Cd  0.750  0.250  0.500
Cd  0.250  0.750  0.500


2.
Na10B17C3 | PBE-GGA | optimized geometry

Calculated values
* E: -4.936 eV/atom
* magnetization: 0.00 μB/atom

Lattice parameters (Å, degrees): 11.860 11.860 10.209 105.50 105.50 13.69
Fractional coordinates of all 30 atoms:
Na  0.401  0.401  0.802
Na  0.500  0.500  0.501
Na  0.200  0.200  0.398
Na  0.300  0.300  0.098
Na  0.000  0.000  0.000
Na  0.100  0.100  0.701
Na  0.801  0.801  0.600
Na  0.900  0.900  0.299
Na  0.598  0.598  0.199
Na  0.700  0.700  0.901
B  0.921  0.921  0.592
B  0.077  0.077  0.404
B  0.012  0.012  0.273
B  0.984  0.984  0.720
B  0.716  0.716  0.180
B  0.881  0.881  0.011
B  0.815  0.815  0.880
B  0.778  0.778  0.305
B  0.522  0.522  0.797
B  0.682  0.682  0.616
B  0.620  0.620  0.490
B  0.588  0.588  0.926
B  0.319  0.319  0.387
B  0.421  0.421  0.092
B  0.381  0.381  0.511
B  0.225  0.225  0.701
B  0.176  0.176  0.102
C  0.481  0.481  0.210
C  0.117  0.117  0.985
C  0.283  0.283  0.817


Number 1: energy relative to the lowest polymorph listed for this composition 0.093 eV per atom. Number 2: energy relative to the lowest polymorph listed for this composition 0.005 eV per atom.